[1]
First-principles (PBE) data for a relaxed structure of LiPdAu2, as listed in OQMD.

a b c (Å): 4.0469 7.9127 12.1486
angles (deg): 90.00 90.00 90.00
Closest atoms and distances in Å follow each position.
Positions (direct):
Au 0.5000 0.2498 0.0000  4 Pd 2.83, 4 Li 2.83, 4 Au 2.86
Au 0.5000 0.7502 0.0000  4 Pd 2.83, 4 Li 2.83, 4 Au 2.86
Au 0.0000 0.2502 0.1667  4 Pd 2.83, 4 Li 2.83, 4 Au 2.86
Au 0.0000 0.7498 0.1667  4 Pd 2.83, 4 Li 2.83, 4 Au 2.86
Au 0.5000 0.2497 0.3333  4 Pd 2.83, 4 Li 2.83, 4 Au 2.86
Au 0.5000 0.7503 0.3333  4 Pd 2.83, 4 Li 2.83, 4 Au 2.86
Au 0.0000 0.2502 0.5000  4 Pd 2.83, 4 Li 2.83, 4 Au 2.86
Au 0.0000 0.7498 0.5000  4 Pd 2.83, 4 Li 2.83, 4 Au 2.86
Au 0.5000 0.2497 0.6667  4 Pd 2.83, 4 Li 2.83, 4 Au 2.86
Au 0.5000 0.7503 0.6667  4 Pd 2.83, 4 Li 2.83, 4 Au 2.86
Au 0.0000 0.2502 0.8333  4 Pd 2.83, 4 Li 2.83, 4 Au 2.86
Au 0.0000 0.7498 0.8333  4 Pd 2.83, 4 Li 2.83, 4 Au 2.86
Li 0.0000 0.5000 0.0000  8 Au 2.83, 4 Pd 2.86
Li 0.5000 0.0000 0.1666  8 Au 2.83, 4 Pd 2.86
Li 0.0000 0.5000 0.3334  8 Au 2.83, 4 Pd 2.86
Li 0.5000 0.0000 0.5000  8 Au 2.83, 4 Pd 2.86
Li 0.0000 0.5000 0.6666  8 Au 2.83, 4 Pd 2.86
Li 0.5000 0.0000 0.8334  8 Au 2.83, 4 Pd 2.86
Pd 0.0000 0.0000 0.0000  8 Au 2.83, 4 Li 2.86
Pd 0.5000 0.5000 0.1667  8 Au 2.83, 4 Li 2.86
Pd 0.0000 0.0000 0.3333  8 Au 2.83, 4 Li 2.86
Pd 0.5000 0.5000 0.5000  8 Au 2.83, 4 Li 2.86
Pd 0.0000 0.0000 0.6667  8 Au 2.83, 4 Li 2.86
Pd 0.5000 0.5000 0.8333  8 Au 2.83, 4 Li 2.86

raw total energy: -3.7696 eV per atom
offset from the most stable computed form: 38 meV per atom

[2]
First-principles (PBE) data for a relaxed structure of ZrSiB4, as listed in OQMD.

a b c (Å): 4.7635 4.7635 4.7635
angles (deg): 142.68 113.45 78.86
Closest atoms and distances in Å follow each position.
Positions (direct):
B 0.5878 0.2535 0.3343  3 B 1.73-1.76
B 0.0808 0.7465 0.3343  3 B 1.73-1.76
B 0.9192 0.2535 0.6657  3 B 1.73-1.76
B 0.4122 0.7465 0.6657  3 B 1.73-1.76
Si 0.0000 0.0000 0.0000  12 B 2.52-2.56
Zr 0.5000 0.5000 0.0000  12 B 2.52-2.56

M_tot: 0.00 μB/cell
raw total energy: -6.9276 eV per atom
offset from the most stable computed form: 18 meV per atom

[3]
First-principles (PBE) data for a relaxed structure of InHIr, as listed in OQMD.

a b c (Å): 5.2521 6.9146 5.5765
angles (deg): 90.00 122.06 90.00
Closest atoms and distances in Å follow each position.
Positions (direct):
H 0.5804 0.3859 0.0404  1 H 1.73, 2 Ir 1.75
H 0.4196 0.8859 0.4596  1 H 1.73, 2 Ir 1.75
H 0.5804 0.1141 0.5404  1 H 1.73, 2 Ir 1.75
H 0.4196 0.6141 0.9596  1 H 1.73, 2 Ir 1.75
In 0.8233 0.9046 0.1616  2 H 2.66-2.70, 6 Ir 2.79-2.88
In 0.1767 0.4046 0.3384  2 H 2.66-2.70, 6 Ir 2.79-2.88
In 0.8234 0.5954 0.6616  2 H 2.66-2.70, 6 Ir 2.79-2.88
In 0.1767 0.0954 0.8384  2 H 2.66-2.70, 6 Ir 2.79-2.88
Ir 0.3113 0.7500 0.1555  2 H 1.75
Ir 0.6887 0.2500 0.3445  2 H 1.75
Ir 0.3113 0.7500 0.6555  2 H 1.75
Ir 0.6887 0.2500 0.8445  2 H 1.75

M_tot: 0.01 μB/cell
raw total energy: -5.0690 eV per atom

Q: Which of these has the lowest raw total energy?
A: ZrSiB4